Arrangement a

Material: CrFeP2S
Method: DFT, GGA-PBE
State: optimized geometry

abc: 4.3616 4.3616 4.7416
angles: 90.00 90.00 90.00
Space group P4/mmm (No. 123)
One atom of each set of equivalent atoms:
Cr (0.0000, 0.0000, 0.0000) (multiplicity 1)
Fe (0.5000, 0.5000, 0.5000) (multiplicity 1)
P (0.0000, 0.5000, 0.0000) (multiplicity 2)
S (0.0000, 0.0000, 0.5000) (multiplicity 1)

## Properties
density of states at the Fermi level = 7.10 states/eV/f.u.
total magnetization = 0.947 μB per atom
calculated density = 3716 kg/m3


Arrangement b

Material: CrFeP2S
Method: DFT, GGA-PBE
State: optimized geometry

abc: 4.1584 4.1584 4.8122
angles: 90.00 90.00 90.00
Space group P4/mmm (No. 123)
One atom of each set of equivalent atoms:
Cr (0.0000, 0.0000, 0.0000) (multiplicity 1)
Fe (0.5000, 0.5000, 0.5000) (multiplicity 1)
P (0.0000, 0.5000, 0.5000) (multiplicity 2)
S (0.5000, 0.5000, 0.0000) (multiplicity 1)

## Properties
density of states at the Fermi level = 6.46 states/eV/f.u.
total magnetization = 0.001 μB per atom
calculated density = 4028 kg/m3


Referenced to the most stable arrangement, the calculated values in meV per atom are arrangement a 0; arrangement b 169.


Arrangement a

Material: PaCrFe2
Method: DFT, GGA-PBE
State: optimized geometry

abc: 4.0964 4.0964 3.5022
angles: 90.00 90.00 90.00
Space group P4/mmm (No. 123)
One atom of each set of equivalent atoms:
Pa (0.0000, 0.0000, 0.0000) (multiplicity 1)
Cr (0.5000, 0.5000, 0.0000) (multiplicity 1)
Fe (0.0000, 0.5000, 0.5000) (multiplicity 2)

## Properties
density of states at the Fermi level = 4.52 states/eV/f.u.
total magnetization = 0.887 μB per atom
calculated density = 11153 kg/m3


Arrangement b

Material: PaCrFe2
Method: DFT, GGA-PBE
State: optimized geometry

abc: 3.7847 3.7847 14.6295
angles: 90.00 90.00 120.00
Space group R-3m (No. 166, hexagonal axes)
One atom of each set of equivalent atoms:
Pa (0.0000, 0.0000, 0.0000) (multiplicity 3)
Cr (0.0000, 0.0000, 0.5000) (multiplicity 3)
Fe (0.0000, 0.0000, 0.2173) (multiplicity 6)

## Properties
density of states at the Fermi level = 4.90 states/eV/f.u.
total magnetization = 0.000 μB per atom
calculated density = 10835 kg/m3


Referenced to the most stable arrangement, the calculated values in meV per atom are arrangement a 61; arrangement b 0.


Arrangement a

Material: Cr3FePb
Method: DFT, GGA-PBE
State: optimized geometry

abc: 5.1802 5.1802 5.1802
angles: 90.00 90.00 90.00
Space group Pm-3m (No. 221)
One atom of each set of equivalent atoms:
Cr (0.0000, 0.0000, 0.5000) (multiplicity 3)
Fe (0.5000, 0.5000, 0.5000) (multiplicity 1)
Pb (0.0000, 0.0000, 0.0000) (multiplicity 1)

## Properties
density of states at the Fermi level = 4.83 states/eV/f.u.
total magnetization = 3.245 μB per atom
calculated density = 5005 kg/m3


Arrangement b

Material: Cr3FePb
Method: DFT, GGA-PBE
State: optimized geometry

abc: 4.4230 4.4230 4.4230
angles: 90.00 90.00 90.00
Space group Pm-3m (No. 221)
One atom of each set of equivalent atoms:
Cr (0.0000, 0.0000, 0.5000) (multiplicity 3)
Fe (0.0000, 0.0000, 0.0000) (multiplicity 1)
Pb (0.5000, 0.5000, 0.5000) (multiplicity 1)

## Properties
density of states at the Fermi level = 7.57 states/eV/f.u.
total magnetization = 1.197 μB per atom
calculated density = 8042 kg/m3


Referenced to the most stable arrangement, the calculated values in meV per atom are arrangement a 1045; arrangement b 0.


Arrangement a

Material: CrFe2PbSe
Method: DFT, GGA-PBE
State: optimized geometry

abc: 4.7968 4.7968 5.6004
angles: 90.00 90.00 90.00
Space group P4/mmm (No. 123)
One atom of each set of equivalent atoms:
Cr (0.0000, 0.0000, 0.0000) (multiplicity 1)
Fe (0.0000, 0.5000, 0.5000) (multiplicity 2)
Pb (0.5000, 0.5000, 0.5000) (multiplicity 1)
Se (0.5000, 0.5000, 0.0000) (multiplicity 1)

## Properties
density of states at the Fermi level = 10.44 states/eV/f.u.
total magnetization = 0.928 μB per atom
calculated density = 5797 kg/m3


Arrangement b

Material: CrFe2PbSe
Method: DFT, GGA-PBE
State: optimized geometry

abc: 4.6340 4.6340 4.5037
angles: 90.00 90.00 90.00
Space group P4/mmm (No. 123)
One atom of each set of equivalent atoms:
Cr (0.0000, 0.0000, 0.0000) (multiplicity 1)
Fe (0.0000, 0.5000, 0.0000) (multiplicity 2)
Pb (0.5000, 0.5000, 0.5000) (multiplicity 1)
Se (0.0000, 0.0000, 0.5000) (multiplicity 1)

## Properties
density of states at the Fermi level = 6.88 states/eV/f.u.
total magnetization = 0.836 μB per atom
calculated density = 7724 kg/m3


Referenced to the most stable arrangement, the calculated values in meV per atom are arrangement a 1170; arrangement b 0.


Arrangement a

Material: CrFe6Pd12
Method: DFT, GGA-PBE
State: optimized geometry

abc: 11.9350 11.9350 6.6915
angles: 90.00 90.00 120.00
Space group R-3 (No. 148, hexagonal axes)
One atom of each set of equivalent atoms:
Cr (0.0000, 0.0000, 0.0000) (multiplicity 3)
Fe (0.0301, 0.7525, 0.3326) (multiplicity 18)
Pd (0.0090, 0.8696, 0.6639) (multiplicity 18)
Pd (0.0655, 0.5070, 0.6718) (multiplicity 18)

## Properties
density of states at the Fermi level = 18.32 states/eV/f.u.
total magnetization = 1.347 μB per atom
calculated density = 10043 kg/m3


Arrangement b

Material: CrFe6Pd12
Method: DFT, GGA-PBE
State: optimized geometry

abc: 9.1414 9.1414 11.5580
angles: 90.00 90.00 120.00
Space group R-3 (No. 148, hexagonal axes)
One atom of each set of equivalent atoms:
Cr (0.0000, 0.0000, 0.0000) (multiplicity 3)
Fe (0.0300, 0.4373, 0.7045) (multiplicity 18)
Pd (0.0281, 0.1860, 0.8194) (multiplicity 18)
Pd (0.0573, 0.8431, 0.4115) (multiplicity 18)

## Properties
density of states at the Fermi level = 15.67 states/eV/f.u.
total magnetization = 0.953 μB per atom
calculated density = 9911 kg/m3


Referenced to the most stable arrangement, the calculated values in meV per atom are arrangement a 0; arrangement b 45.


Arrangement a

Material: CrFePd6
Method: DFT, GGA-PBE
State: optimized geometry

abc: 4.9828 5.0007 5.0050
angles: 93.36 93.24 93.20
Space group P-1 (No. 2)
One atom of each set of equivalent atoms:
Cr (0.0000, 0.0000, 0.0000) (multiplicity 1)
Fe (0.5000, 0.5000, 0.5000) (multiplicity 1)
Pd (0.0423, 0.4589, 0.7497) (multiplicity 2)
Pd (0.2503, 0.9550, 0.5434) (multiplicity 2)
Pd (0.4593, 0.7498, 0.0433) (multiplicity 2)

## Properties
density of states at the Fermi level = 9.29 states/eV/f.u.
total magnetization = 0.923 μB per atom
calculated density = 9989 kg/m3


Arrangement b

Material: CrFePd6
Method: DFT, GGA-PBE
State: optimized geometry

abc: 3.8979 3.8979 7.8029
angles: 90.00 90.00 90.00
Space group P4/mmm (No. 123)
One atom of each set of equivalent atoms:
Cr (0.0000, 0.0000, 0.0000) (multiplicity 1)
Fe (0.0000, 0.0000, 0.5000) (multiplicity 1)
Pd (0.0000, 0.5000, 0.2519) (multiplicity 4)
Pd (0.5000, 0.5000, 0.0000) (multiplicity 1)
Pd (0.5000, 0.5000, 0.5000) (multiplicity 1)

## Properties
density of states at the Fermi level = 9.47 states/eV/f.u.
total magnetization = 0.899 μB per atom
calculated density = 10454 kg/m3


Referenced to the most stable arrangement, the calculated values in meV per atom are arrangement a 152; arrangement b 0.